(1)
Density functional theory data (PBE-GGA) for a relaxed structure of BaYV2.

a = 5.4150 Å, b = 5.4150 Å, c = 5.4150 Å
α = 60.00°, β = 60.00°, γ = 60.00°
Element x y z (fractional)
1 Ba 0.0000 0.0000 0.0000
2 Y 0.5000 0.5000 0.5000
3 V 0.2500 0.2500 0.2500
4 V 0.7500 0.7500 0.7500

DOS(E_F)	5.46	states/eV/cell
SG	Fm-3m (225)
spin magnetization	1.8955	μB per atom
DFT formation energy	3.67	eV per formula unit



(2)
Density functional theory data (PBE-GGA) for a relaxed structure of Pt3AuCl.

a = 4.5351 Å, b = 4.5351 Å, c = 4.5351 Å
α = 90.00°, β = 90.00°, γ = 90.00°
Element x y z (fractional)
1 Pt 0.0000 0.0000 0.5000
2 Pt 0.0000 0.5000 0.0000
3 Pt 0.5000 0.0000 0.0000
4 Au 0.5000 0.5000 0.5000
5 Cl 0.0000 0.0000 0.0000

DOS(E_F)	1.02	states/eV/cell
SG	Pm-3m (221)
formation energy (no corrections)	0.9518	eV per atom
spin magnetization	0.0000	μB per atom



no.,energy relative to the lowest polymorph listed for this composition (meV per atom),ρ (Mg/m³)
1,0,4.85
2,0,14.56